Record 1
BaCdCo4: relaxed, PBE.

Cell lengths 7.399, 7.399, 7.399 Å; angles 90.00, 90.00, 90.00 degrees
Space group F-43m (No. 216)
Asymmetric unit:
Ba 0.000 0.000 0.000 (multiplicity 4)
Cd 0.250 0.250 0.750 (multiplicity 4)
Co 0.123 0.123 0.377 (multiplicity 16)

Results
* energy of formation: 443 meV per atom
* electronic total energy: -4.767 eV/atom
* total moment: 5.861 μB/f.u.

***

Record 2
BaCd3Co: relaxed, PBE.

Cell lengths 5.117, 5.117, 5.117 Å; angles 90.00, 90.00, 90.00 degrees
Space group Pm-3m (No. 221)
Asymmetric unit:
Ba 0.000 0.000 0.000 (multiplicity 1)
Cd 0.000 0.500 0.500 (multiplicity 3)
Co 0.500 0.500 0.500 (multiplicity 1)

Results
* energy of formation: -43 meV per atom
* electronic total energy: -2.398 eV/atom
* relative energy among the computed polymorphs: 0.000 eV/f.u.
* total moment: 0.000 μB/f.u.

***

Among the records above, which one has the highest total moment?
BaCdCo4

***

Which formula does entry 1 have?
BaCdCo4

***

Which value of total moment does entry 1 give?
5.861 μB/f.u.

***

Which formula does entry 1 have?
BaCdCo4